Density functional theory data (GGA+U) for UMnMoO6 after structural relaxation.

Computed properties:
* final energy: -151.66 eV for the cell shown
* Fermi-level density of states: 5.53 states/eV/cell

a = 5.477 Å, b = 5.477 Å, c = 9.134 Å
α = 90.00°, β = 90.00°, γ = 120.00°
Positions (direct):
U 0.333 0.667 0.250
U 0.667 0.333 0.750
Mn 0.000 0.000 0.000
Mn 0.000 0.000 0.500
Mo 0.333 0.667 0.750
Mo 0.667 0.333 0.250
O 0.004 0.347 0.633
O 0.004 0.657 0.867
O 0.343 0.347 0.867
O 0.343 0.996 0.633
O 0.347 0.004 0.133
O 0.347 0.343 0.367
O 0.653 0.657 0.633
O 0.653 0.996 0.867
O 0.657 0.004 0.367
O 0.657 0.653 0.133
O 0.996 0.343 0.133
O 0.996 0.653 0.367